(1)
The following is a SCAN calculation of a PBEsol-optimized structure of Li2Tl, from Alexandria via LeMat-Bulk.

- E_tot: -624.5 eV per cell
- Magnetic moment: 0.27 Bohr magnetons per cell

```
data_Li2Tl
_space_group_name_H-M_alt 'I 41/a m d'
_space_group_IT_number 141
_cell_length_a 4.1177
_cell_length_b 4.1177
_cell_length_c 26.9274
_cell_angle_alpha 90.00
_cell_angle_beta 90.00
_cell_angle_gamma 90.00
loop_
_space_group_symop_operation_xyz
'x,y,z'
'-x,-y,-z'
'-y+1/4,x+3/4,z+1/4'
'y+1/4,-x+3/4,-z+1/4'
'-x+1/2,-y,z+1/2'
'x+1/2,y,-z+1/2'
'y+1/4,-x+1/4,z+3/4'
'-y+1/4,x+1/4,-z+3/4'
'x,-y,-z'
'-x,y,z'
'-y+1/4,-x+1/4,-z+3/4'
'y+1/4,x+1/4,z+3/4'
'-x+1/2,y,-z+1/2'
'x+1/2,-y,z+1/2'
'y+1/4,x+3/4,-z+1/4'
'-y+1/4,-x+3/4,z+1/4'
'x+1/2,y+1/2,z+1/2'
'-x+1/2,-y+1/2,-z+1/2'
'-y+3/4,x+1/4,z+3/4'
'y+3/4,-x+1/4,-z+3/4'
'-x,-y+1/2,z'
'x,y+1/2,-z'
'y+3/4,-x+3/4,z+1/4'
'-y+3/4,x+3/4,-z+1/4'
'x+1/2,-y+1/2,-z+1/2'
'-x+1/2,y+1/2,z+1/2'
'-y+3/4,-x+3/4,-z+1/4'
'y+3/4,x+3/4,z+1/4'
'-x,y+1/2,-z'
'x,-y+1/2,z'
'y+3/4,x+1/4,-z+3/4'
'-y+3/4,-x+1/4,z+3/4'
loop_
_atom_site_label
_atom_site_fract_x
_atom_site_fract_y
_atom_site_fract_z
_atom_site_occupancy
Li1 0.0000 0.2500 0.1235 1
Li2 0.0000 0.2500 0.7880 1
Tl1 0.0000 0.2500 0.2968 1
```

(2)
The following is a SCAN calculation of a PBEsol-optimized structure of BaSr, from Alexandria via LeMat-Bulk.

- E above lowest polymorph: 14 meV per atom
- Magnetic moment: 0.13 Bohr magnetons per cell

```
data_BaSr
_space_group_name_H-M_alt 'R -3 m'
_space_group_IT_number 166
_space_group_name_Hall '-R 3 2"'
_cell_length_a 4.2637
_cell_length_b 4.2637
_cell_length_c 42.0105
_cell_angle_alpha 90.00
_cell_angle_beta 90.00
_cell_angle_gamma 120.00
loop_
_atom_site_label
_atom_site_fract_x
_atom_site_fract_y
_atom_site_fract_z
_atom_site_occupancy
Ba1 0.0000 0.0000 0.1237 1
Sr1 0.0000 0.0000 0.3738 1
```

(3)
The following is a SCAN calculation of a PBEsol-optimized structure of Cu2TcIr, from Alexandria via LeMat-Bulk.

- E above lowest polymorph: 0 meV per atom
- Magnetic moment: 0.00 Bohr magnetons per cell

```
data_Cu2TcIr
_space_group_name_H-M_alt 'P 4 m m'
_space_group_IT_number 99
_cell_length_a 2.7036
_cell_length_b 2.7036
_cell_length_c 6.9973
_cell_angle_alpha 90.00
_cell_angle_beta 90.00
_cell_angle_gamma 90.00
loop_
_space_group_symop_operation_xyz
'x,y,z'
'-y,x,z'
'-x,-y,z'
'y,-x,z'
'-x,y,z'
'y,x,z'
'x,-y,z'
'-y,-x,z'
loop_
_atom_site_label
_atom_site_fract_x
_atom_site_fract_y
_atom_site_fract_z
_atom_site_occupancy
Cu1 0.0000 0.0000 0.0000 1
Cu2 0.5000 0.5000 0.2239 1
Tc1 0.5000 0.5000 0.7376 1
Ir1 0.0000 0.0000 0.4853 1
```

(4)
The following is a SCAN calculation of a PBEsol-optimized structure of Re3AsRh, from Alexandria via LeMat-Bulk.

- E_tot: -257.9 eV per cell
- Magnetic moment: 0.00 Bohr magnetons per cell

```
data_Re3AsRh
_space_group_name_H-M_alt 'P m -3 m'
_space_group_IT_number 221
_space_group_name_Hall '-P 4 2 3'
_cell_length_a 4.4355
_cell_length_b 4.4355
_cell_length_c 4.4355
_cell_angle_alpha 90.00
_cell_angle_beta 90.00
_cell_angle_gamma 90.00
loop_
_atom_site_label
_atom_site_fract_x
_atom_site_fract_y
_atom_site_fract_z
_atom_site_occupancy
Re1 0.0000 0.0000 0.5000 1
As1 0.0000 0.0000 0.0000 1
Rh1 0.5000 0.5000 0.5000 1
```

(5)
The following is a SCAN calculation of a PBEsol-optimized structure of DyMn6Ge6, from Alexandria via LeMat-Bulk.

- E_tot: -277.6 eV per cell
- Magnetic moment: 12.35 Bohr magnetons per cell

```
data_DyMn6Ge6
_space_group_name_H-M_alt 'P 6/m m m'
_space_group_IT_number 191
_space_group_name_Hall '-P 6 2'
_cell_length_a 5.0868
_cell_length_b 5.0868
_cell_length_c 8.0264
_cell_angle_alpha 90.00
_cell_angle_beta 90.00
_cell_angle_gamma 120.00
loop_
_atom_site_label
_atom_site_fract_x
_atom_site_fract_y
_atom_site_fract_z
_atom_site_occupancy
Dy1 0.0000 0.0000 0.0000 1
Mn1 0.0000 0.5000 0.2505 1
Ge1 0.0000 0.0000 0.3444 1
Ge2 0.3333 0.6667 0.0000 1
Ge3 0.3333 0.6667 0.5000 1
```

(6)
The following is a SCAN calculation of a PBEsol-optimized structure of Ba2YFe3O8, from Alexandria via LeMat-Bulk.

- E_form (uncorrected): -2.44 eV/atom
- Magnetic moment: 13.05 Bohr magnetons per cell

```
data_Ba2YFe3O8
_space_group_name_H-M_alt 'P 4/m m m'
_space_group_IT_number 123
_space_group_name_Hall '-P 4 2'
_cell_length_a 3.8827
_cell_length_b 3.8827
_cell_length_c 11.2364
_cell_angle_alpha 90.00
_cell_angle_beta 90.00
_cell_angle_gamma 90.00
loop_
_atom_site_label
_atom_site_fract_x
_atom_site_fract_y
_atom_site_fract_z
_atom_site_occupancy
Ba1 0.0000 0.0000 0.1696 1
Y1 0.0000 0.0000 0.5000 1
Fe1 0.5000 0.5000 0.0000 1
Fe2 0.5000 0.5000 0.3466 1
O1 0.0000 0.5000 0.0000 1
O2 0.0000 0.5000 0.3754 1
O3 0.5000 0.5000 0.1765 1
```

(7)
The following is a SCAN calculation of a PBEsol-optimized structure of CaEu3, from Alexandria via LeMat-Bulk.

- E_tot: -682.5 eV per cell
- Magnetic moment: 92.84 Bohr magnetons per cell

```
data_CaEu3
_space_group_name_H-M_alt 'F m -3 m'
_space_group_IT_number 225
_space_group_name_Hall '-F 4 2 3'
_cell_length_a 8.5673
_cell_length_b 8.5673
_cell_length_c 8.5673
_cell_angle_alpha 90.00
_cell_angle_beta 90.00
_cell_angle_gamma 90.00
loop_
_atom_site_label
_atom_site_fract_x
_atom_site_fract_y
_atom_site_fract_z
_atom_site_occupancy
Ca1 0.0000 0.0000 0.0000 1
Eu1 0.0000 0.0000 0.5000 1
Eu2 0.2500 0.2500 0.2500 1
```

(8)
The following is a SCAN calculation of a PBEsol-optimized structure of TcGe, from Alexandria via LeMat-Bulk.

- E_tot: -54.6 eV per cell
- Magnetic moment: 0.00 Bohr magnetons per cell

```
data_TcGe
_space_group_name_H-M_alt 'P -6 m 2'
_space_group_IT_number 187
_space_group_name_Hall 'P -6 2'
_cell_length_a 3.2128
_cell_length_b 3.2128
_cell_length_c 3.3242
_cell_angle_alpha 90.00
_cell_angle_beta 90.00
_cell_angle_gamma 120.00
loop_
_atom_site_label
_atom_site_fract_x
_atom_site_fract_y
_atom_site_fract_z
_atom_site_occupancy
Tc1 0.0000 0.0000 0.0000 1
Ge1 0.6667 0.3333 0.5000 1
```